5
Lattice="5.646 0.000 0.000 0.000 5.646 0.000 0.000 0.000 5.646" Properties=species:S:1:pos:R:3 comment="BaGe3Pd | Alexandria | GGA-PBE | optimized geometry" formation_enthalpy_0k_ev_per_fu=7.9 rho_g_cm3=4.3 pbc="T T T"
Ba 0.000 0.000 0.000
Ge 0.000 0.000 2.823
Ge 0.000 2.823 0.000
Ge 2.823 0.000 0.000
Pd 2.823 2.823 2.823



4
Lattice="2.301 -4.976 0.000 2.301 4.976 0.000 0.000 0.000 3.121" Properties=species:S:1:pos:R:3 comment="FeAs2Cl | Alexandria | GGA-PBE | optimized geometry" polymorph_energy_mev_per_atom=0 rho_g_cm3=5.6 pbc="T T T"
Fe 0.000 0.000 0.000
As 2.301 3.126 1.561
As 2.301 -3.126 1.561
Cl 2.301 0.000 0.000



5
Lattice="5.545 0.000 0.000 0.000 5.545 0.000 0.000 0.000 5.829" Properties=species:S:1:pos:R:3 comment="YAgHg2Sb | Alexandria | GGA-PBE | optimized geometry" energy_ev_per_atom=-2.4435 rho_g_cm3=6.7 pbc="T T T"
Y 0.000 0.000 0.000
Ag 2.773 2.773 0.000
Hg 0.000 2.773 2.914
Hg 2.773 0.000 2.914
Sb 0.000 0.000 2.914



4
Lattice="0.000 3.821 3.821 3.821 0.000 3.821 3.821 3.821 0.000" Properties=species:S:1:pos:R:3 comment="LaPrInCu | Alexandria | GGA-PBE | optimized geometry" formation_enthalpy_0k_ev_per_fu=-1.0 rho_g_cm3=6.8 pbc="T T T"
La 0.000 0.000 0.000
Pr 3.821 3.821 3.821
In 1.910 1.910 1.910
Cu 5.731 5.731 5.731



4
Lattice="1.388 0.801 7.785 -1.388 0.801 7.785 0.000 -1.602 7.785" Properties=species:S:1:pos:R:3 comment="BeTc2P | Alexandria | GGA-PBE | optimized geometry" polymorph_energy_mev_per_atom=486 formation_enthalpy_0k_ev_per_fu=0.2 rho_g_cm3=7.5 pbc="T T T"
Be 0.000 0.000 0.000
Tc 0.000 0.000 11.877
Tc 0.000 0.000 17.521
P 0.000 0.000 6.041



18
Lattice="7.319 0.000 0.000 -3.660 6.339 0.000 0.000 0.000 15.271" Properties=species:S:1:pos:R:3 comment="RbDyCdBr6 | Alexandria | GGA-PBE | optimized geometry" energy_ev_per_atom=-3.3626 rho_g_cm3=3.9 pbc="T T T"
Rb 0.000 0.000 0.000
Rb 0.000 0.000 7.635
Dy 0.000 4.226 3.818
Dy 3.660 2.113 11.453
Cd 0.000 4.226 11.453
Cd 3.660 2.113 3.818
Br -1.371 2.383 2.184
Br -2.281 3.959 5.451
Br 1.371 2.383 5.451
Br -0.910 6.335 2.184
Br 2.750 0.004 9.819
Br 1.378 2.379 13.087
Br 2.281 3.959 2.184
Br 0.910 6.335 5.451
Br 4.569 0.004 13.087
Br 2.288 3.955 9.819
Br 5.941 2.379 9.819
Br 5.031 3.955 13.087



4
Lattice="4.361 0.000 0.000 0.000 3.423 0.000 -0.829 0.000 5.490" Properties=species:S:1:pos:R:3 comment="SiTcSb2 | Alexandria | GGA-PBE | optimized geometry" energy_ev_per_atom=-5.5348 rho_g_cm3=7.5 pbc="T T T"
Si 0.000 0.000 0.000
Tc 1.766 1.712 2.745
Sb -0.415 0.000 2.745
Sb 2.180 1.712 0.000



4
Lattice="-2.236 2.236 4.803 2.236 -2.236 4.803 2.236 2.236 -4.803" Properties=species:S:1:pos:R:3 comment="Tl2InPt | Alexandria | GGA-PBE | optimized geometry" polymorph_energy_mev_per_atom=232 formation_enthalpy_0k_ev_per_fu=0.5 rho_g_cm3=12.4 pbc="T T T"
Tl 2.236 0.000 2.401
Tl 0.000 2.236 2.401
In 0.000 0.000 0.000
Pt 0.000 0.000 4.803



4
Lattice="5.146 -1.612 0.000 5.146 1.612 0.000 -2.383 0.000 5.678" Properties=species:S:1:pos:R:3 comment="TlCoSb2 | Alexandria | GGA-PBE | optimized geometry" polymorph_energy_mev_per_atom=132 rho_g_cm3=8.9 pbc="T T T"
Tl 0.000 0.000 0.000
Co 5.192 0.000 5.651
Sb 0.122 0.000 3.627
Sb 2.704 0.000 1.992



12
Lattice="9.660 -2.171 0.000 9.660 2.171 0.000 -2.339 0.000 8.605" Properties=species:S:1:pos:R:3 comment="Pm2NdEr3Te6 | Alexandria | GGA-PBE | optimized geometry" energy_ev_per_atom=-5.2192 rho_g_cm3=7.8 pbc="T T T"
Pm 2.434 0.000 2.861
Pm 14.547 0.000 5.745
Nd 9.660 0.000 0.000
Er 1.255 0.000 7.167
Er 8.491 0.000 4.303
Er 15.726 0.000 1.439
Te -1.682 0.000 6.377
Te 4.205 0.000 7.948
Te 5.533 0.000 3.525
Te 11.448 0.000 5.080
Te 12.776 0.000 0.657
Te 18.663 0.000 2.229



11
Lattice="-1.423 4.003 7.449 1.423 -4.003 7.449 1.423 4.003 -7.449" Properties=species:S:1:pos:R:3 comment="Sc4Si3Ni4 | Alexandria | GGA-PBE | optimized geometry" energy_ev_per_atom=-6.2213 rho_g_cm3=4.9 pbc="T T T"
Sc 1.423 -2.532 5.172
Sc 0.000 1.471 2.278
Sc 1.423 2.532 5.172
Sc 0.000 6.535 2.278
Si 1.423 0.000 0.000
Si 0.000 0.000 5.966
Si 0.000 0.000 8.932
Ni 1.423 0.000 4.049
Ni 0.000 2.736 0.000
Ni 0.000 5.270 0.000
Ni 0.000 4.003 3.401



28
Lattice="7.628 0.000 0.000 0.000 12.698 0.000 -6.658 0.000 8.910" Properties=species:S:1:pos:R:3 comment="K3BeSe3 | Alexandria | GGA-PBE | optimized geometry" energy_ev_per_atom=-3.4259 rho_g_cm3=2.8 pbc="T T T"
K -2.053 1.601 4.166
K -5.382 4.748 8.621
K -4.788 0.701 7.916
K -1.459 5.648 3.461
K -1.407 8.979 5.561
K 1.922 10.068 1.106
K -0.952 2.630 7.804
K 2.377 3.719 3.349
K 2.429 7.050 5.449
K 5.758 11.997 0.994
K 6.352 7.950 0.288
K 3.023 11.097 4.743
Be 0.984 0.551 3.240
Be -2.345 5.798 7.695
Be 3.316 6.900 1.214
Be -0.013 12.147 5.669
Se 0.206 1.990 1.590
Se -3.123 4.359 6.045
Se -3.431 7.736 8.020
Se -0.102 11.311 3.565
Se 1.366 6.903 2.336
Se -1.963 12.145 6.791
Se 2.933 0.554 2.118
Se -0.396 5.795 6.573
Se 1.072 1.387 5.344
Se 4.401 4.962 0.890
Se 4.093 8.339 2.865
Se 0.764 10.708 7.320